[1]
VASP calculation (GGA-PBE) on SmDy8Er4 after structural relaxation.

The space group is R-3m (No. 166, hexagonal axes) and the conventional cell measures 7.2463, 7.2463 and 27.1295 Å, with angles of 90.00, 90.00 and 120.00 degrees. The inequivalent atoms are Sm at (0.0000, 0.0000, 0.0000), Dy at (0.0000, 0.0000, 0.2826), Dy at (0.0358, 0.5179, 0.2674), Er at (0.0000, 0.0000, 0.5000) and Er at (0.0000, 0.5000, 0.5000).

---

[2]
VASP calculation (GGA-PBE) on Sm3Dy4Er5 after structural relaxation.

The space group is C2/m (No. 12) and the conventional cell measures 15.9095, 5.8768 and 9.2375 Å, with angles of 90.00, 116.11 and 90.00 degrees. The inequivalent atoms are Sm at (0.0000, 0.0000, 0.0000), Sm at (0.2085, 0.5000, 0.2315), Dy at (0.0817, 0.5000, 0.4416), Dy at (0.2100, 0.5000, 0.8780), Er at (0.0000, 0.5000, 0.0000), Er at (0.0729, 0.0000, 0.6969) and Er at (0.1727, 0.0000, 0.3879).

---

[3]
VASP calculation (GGA-PBE) on Sm4Dy3Er2 after structural relaxation.

The space group is C2/c (No. 15) and the conventional cell measures 16.8559, 9.7844 and 7.0318 Å, with angles of 90.00, 90.03 and 90.00 degrees. The inequivalent atoms are Sm at (0.0141, 0.1651, 0.9997), Sm at (0.1725, 0.3502, 0.9999), Dy at (0.0000, 0.4995, 0.2500), Dy at (0.1703, 0.0002, 0.2500) and Er at (0.1606, 0.3152, 0.5003).

---

[4]
VASP calculation (GGA-PBE) on SmDy4Er after structural relaxation.

The space group is P-1 (No. 2) and the conventional cell measures 5.0083, 6.1480 and 7.1018 Å, with angles of 106.82, 90.01 and 113.94 degrees. The inequivalent atoms are Sm at (0.0000, 0.0000, 0.0000), Dy at (0.3325, 0.6649, 0.6654), Dy at (0.3339, 0.6679, 0.1677) and Er at (0.0000, 0.0000, 0.5000).

---

Number 1: ΔE_f 205 meV/atom, final energy -4.394 eV per atom, DOS at the Fermi energy 1.116 states/eV per atom. Number 2: ΔE_f 239 meV/atom, final energy -4.376 eV per atom, DOS at the Fermi energy 1.578 states/eV per atom. Number 3: ΔE_f 56 meV/atom, final energy -4.589 eV per atom, DOS at the Fermi energy 1.436 states/eV per atom. Number 4: ΔE_f 19 meV/atom, final energy -4.596 eV per atom, DOS at the Fermi energy 1.316 states/eV per atom.